[1]
## HgPdN2O (PBE-GGA)

Data for crystalline HgPdN2O at its relaxed geometry.

abc: 3.9976 3.9976 4.2209
angles: 90.00 90.00 90.00
Fractional positions:
Hg (0.0000, 0.0000, 0.0000)
Pd (0.5000, 0.5000, 0.5000)
N (0.0000, 0.5000, 0.5000)
N (0.5000, 0.0000, 0.5000)
O (0.5000, 0.5000, 0.0000)

Summary:
Raw formation energy in eV per atom: 1.378
Total moment in μB per formula unit: 2.769
Calculated volume in Å³/cell: 67
Space group: P4/mmm (123)

---

[2]
## NdScOsRh (PBE-GGA)

Data for crystalline NdScOsRh at its relaxed geometry.

abc: 6.7652 6.7652 6.7652
angles: 90.00 90.00 90.00
Fractional positions:
Nd (0.0000, 0.0000, 0.0000)
Nd (0.0000, 0.5000, 0.5000)
Nd (0.5000, 0.0000, 0.5000)
Nd (0.5000, 0.5000, 0.0000)
Sc (0.0000, 0.0000, 0.5000)
Sc (0.0000, 0.5000, 0.0000)
Sc (0.5000, 0.0000, 0.0000)
Sc (0.5000, 0.5000, 0.5000)
Os (0.2500, 0.2500, 0.7500)
Os (0.2500, 0.7500, 0.2500)
Os (0.7500, 0.2500, 0.2500)
Os (0.7500, 0.7500, 0.7500)
Rh (0.2500, 0.2500, 0.2500)
Rh (0.2500, 0.7500, 0.7500)
Rh (0.7500, 0.2500, 0.7500)
Rh (0.7500, 0.7500, 0.2500)

Summary:
Total moment in μB per formula unit: 0.000
Calculated volume in Å³/cell: 310
Space group: F-43m (216)
DFT formation energy in kJ/mol of formula units: -139

---

[3]
## InBiH (PBE-GGA)

Data for crystalline InBiH at its relaxed geometry.

abc: 3.7791 5.4578 8.2898
angles: 71.94 77.28 89.99
Fractional positions:
In (0.2162, 0.2169, 0.0690)
In (0.7838, 0.7831, 0.9310)
Bi (0.1260, 0.6270, 0.2583)
Bi (0.8740, 0.3730, 0.7417)
H (0.4944, 0.0477, 0.5250)
H (0.5056, 0.9523, 0.4750)

Summary:
Energy above the most stable polymorph in this dataset in eV per atom: 0.000
Total moment in μB per formula unit: 0.000
Calculated volume in Å³/cell: 158
Space group: P-1 (2)

---

[4]
## Pt5Se (PBE-GGA)

Data for crystalline Pt5Se at its relaxed geometry.

abc: 3.9702 12.0238 4.0548
angles: 90.00 90.00 90.00
Fractional positions:
Pt (0.0000, 0.0000, 0.0000)
Pt (0.0000, 0.1670, 0.5000)
Pt (0.0000, 0.3313, 0.0000)
Pt (0.0000, 0.6687, 0.0000)
Pt (0.0000, 0.8330, 0.5000)
Pt (0.5000, 0.1687, 0.0000)
Pt (0.5000, 0.3330, 0.5000)
Pt (0.5000, 0.5000, 0.0000)
Pt (0.5000, 0.6670, 0.5000)
Pt (0.5000, 0.8313, 0.0000)
Se (0.0000, 0.5000, 0.5000)
Se (0.5000, 0.0000, 0.5000)

Summary:
Raw formation energy in eV per atom: 0.155
Total moment in μB per formula unit: 0.000
Calculated volume in Å³/cell: 194
Space group: Cmmm (65)

---

[5]
## Sr3Be2NbO8 (PBE-GGA)

Data for crystalline Sr3Be2NbO8 at its relaxed geometry.

abc: 5.4548 5.4548 6.9737
angles: 90.00 90.00 120.00
Fractional positions:
Sr (0.0000, 0.0000, 0.0000)
Sr (0.3333, 0.6667, 0.6699)
Sr (0.6667, 0.3333, 0.3301)
Be (0.3333, 0.6667, 0.2350)
Be (0.6667, 0.3333, 0.7650)
Nb (0.0000, 0.0000, 0.5000)
O (0.1712, 0.3425, 0.3293)
O (0.1712, 0.8288, 0.3293)
O (0.3333, 0.6667, 0.0092)
O (0.3425, 0.1712, 0.6707)
O (0.6575, 0.8288, 0.3293)
O (0.6667, 0.3333, 0.9908)
O (0.8288, 0.1712, 0.6707)
O (0.8288, 0.6575, 0.6707)

Summary:
Raw formation energy in eV per atom: -2.633
Total moment in μB per formula unit: 1.001
Calculated volume in Å³/cell: 180
Space group: P-3m1 (164)

---

[6]
## MnHPd3 (PBE-GGA)

Data for crystalline MnHPd3 at its relaxed geometry.

abc: 2.9548 2.9548 17.5294
angles: 90.00 90.00 120.00
Fractional positions:
Mn (0.0000, 0.0000, 0.0000)
Mn (0.0000, 0.0000, 0.5000)
H (0.3333, 0.6667, 0.2500)
H (0.6667, 0.3333, 0.7500)
Pd (0.0000, 0.0000, 0.2500)
Pd (0.0000, 0.0000, 0.7500)
Pd (0.3333, 0.6667, 0.1143)
Pd (0.3333, 0.6667, 0.3857)
Pd (0.6667, 0.3333, 0.6143)
Pd (0.6667, 0.3333, 0.8857)

Summary:
Energy above the most stable polymorph in this dataset in eV per atom: 0.164
Total moment in μB per formula unit: 4.524
Calculated volume in Å³/cell: 133
Space group: P6_3/mmc (194)